Compound: PmErNp
Source: the Open Quantum Materials Database
Functional: PBE
Structure: relaxed

Lattice parameters (Å, degrees): 5.1395 5.1395 5.1395 60.00 60.00 60.00
Closest atoms and distances in Å follow each position.
Fractional coordinates of all 3 atoms:
Er1 0.2500 0.2500 0.2500  4 Pm 3.15
Np1 0.7500 0.7500 0.7500  4 Pm 3.15
Pm1 0.0000 0.0000 0.0000  4 Er 3.15, 4 Np 3.15

Properties
E_form   1162 meV/atom
Space-group type   F-43m
Calculated volume   31.998 A^3/atom